Record 1
A plane-wave DFT calculation with PBE-GGA was carried out for Al2CuAuSe4 after structural relaxation.

```
data_Al2CuAuSe4
_symmetry_space_group_name_H-M 'P 1'
_symmetry_Int_Tables_number 1
_symmetry_space_group_name_Hall 'P 1'
_cell_length_a 5.672
_cell_length_b 5.672
_cell_length_c 7.104
_cell_angle_alpha 113.52
_cell_angle_beta 113.52
_cell_angle_gamma 90.02
loop_
_atom_site_label
_atom_site_fract_x
_atom_site_fract_y
_atom_site_fract_z
Al1 0.750 0.250 0.500
Al2 0.250 0.750 0.500
Cu1 0.500 0.500 0.000
Au1 0.000 0.000 0.001
Se1 0.605 0.605 0.739
Se2 0.395 0.866 0.261
Se3 0.866 0.395 0.261
Se4 0.134 0.134 0.739
```

Results
The value obtained for the formation energy (no corrections) is -534.6 meV per atom.

Record 2
A plane-wave DFT calculation with PBE-GGA was carried out for Al2Cu7Si2Au after structural relaxation.

```
data_Al2Cu7Si2Au
_symmetry_space_group_name_H-M 'P 1'
_symmetry_Int_Tables_number 1
_symmetry_space_group_name_Hall 'P 1'
_cell_length_a 3.826
_cell_length_b 3.826
_cell_length_c 12.553
_cell_angle_alpha 72.95
_cell_angle_beta 72.95
_cell_angle_gamma 92.91
loop_
_atom_site_label
_atom_site_fract_x
_atom_site_fract_y
_atom_site_fract_z
Al1 0.819 0.819 0.680
Al2 0.181 0.181 0.320
Cu1 0.500 0.500 0.000
Cu2 0.262 0.262 0.500
Cu3 0.738 0.738 0.500
Cu4 0.831 0.332 0.170
Cu5 0.332 0.831 0.170
Cu6 0.668 0.169 0.830
Cu7 0.169 0.668 0.830
Si1 0.688 0.688 0.313
Si2 0.312 0.312 0.687
Au1 0.000 0.000 0.000
```

Results
The value obtained for the formation energy (no corrections) is -21.7 meV per atom.

Record 3
A plane-wave DFT calculation with PBE-GGA was carried out for SmAl3CuAu after structural relaxation.

```
data_SmAl3CuAu
_symmetry_space_group_name_H-M 'P 1'
_symmetry_Int_Tables_number 1
_symmetry_space_group_name_Hall 'P 1'
_cell_length_a 5.959
_cell_length_b 6.199
_cell_length_c 6.925
_cell_angle_alpha 116.59
_cell_angle_beta 90.00
_cell_angle_gamma 90.00
loop_
_atom_site_label
_atom_site_fract_x
_atom_site_fract_y
_atom_site_fract_z
Sm1 0.750 0.287 0.574
Sm2 0.250 0.713 0.426
Al1 0.250 0.138 0.276
Al2 0.000 0.287 0.000
Al3 0.500 0.713 0.000
Al4 0.500 0.287 0.000
Al5 0.000 0.713 0.000
Al6 0.750 0.862 0.724
Cu1 0.250 0.933 0.865
Cu2 0.750 0.067 0.135
Au1 0.250 0.348 0.696
Au2 0.750 0.652 0.304
```

Results
The formation enthalpy at 0 K comes out at -0.3143 eV/atom.

Record 4
A plane-wave DFT calculation with PBE-GGA was carried out for SmAl4Cu2Au after structural relaxation.

```
data_SmAl4Cu2Au
_symmetry_space_group_name_H-M 'P 1'
_symmetry_Int_Tables_number 1
_symmetry_space_group_name_Hall 'P 1'
_cell_length_a 4.239
_cell_length_b 4.239
_cell_length_c 9.472
_cell_angle_alpha 77.07
_cell_angle_beta 77.07
_cell_angle_gamma 60.00
loop_
_atom_site_label
_atom_site_fract_x
_atom_site_fract_y
_atom_site_fract_z
Sm1 0.000 0.000 0.000
Al1 0.403 0.403 0.790
Al2 0.878 0.878 0.365
Al3 0.122 0.122 0.635
Al4 0.597 0.597 0.210
Cu1 0.748 0.748 0.756
Cu2 0.252 0.252 0.244
Au1 0.500 0.500 0.500
```

Results
The formation enthalpy at 0 K comes out at -0.3361 eV/atom.